# 1
# BRhAuCl

A geometry-optimized BRhAuCl structure (PBE-GGA, Alexandria via LeMat-Bulk). Values from VASP.

Calculated values
E_form (uncorrected) in eV per atom: -0.027
D(E_F) in states/eV/f.u.: 0.03
Raw total energy in eV per atom: -4.815

```
&SYSTEM
  ibrav = 0, nat = 4, ntyp = 4
/
ATOMIC_SPECIES
B 10.81 B.upf
Rh 102.91 Rh.upf
Au 196.97 Au.upf
Cl 35.45 Cl.upf
CELL_PARAMETERS angstrom
3.380 0.000 0.000
-1.690 2.927 0.000
0.000 0.000 6.493
ATOMIC_POSITIONS angstrom
B 0.000 0.000 0.000
Rh 1.690 0.976 0.776
Au 0.000 1.952 5.185
Cl 0.000 1.952 2.671
```

=====

# 2
# BRhAuCl

A geometry-optimized BRhAuCl structure (PBE-GGA, Alexandria via LeMat-Bulk). Values from VASP.

Calculated values
E_form (uncorrected) in eV per atom: -0.030
Raw total energy in eV per atom: -4.818

```
&SYSTEM
  ibrav = 0, nat = 4, ntyp = 4
/
ATOMIC_SPECIES
B 10.81 B.upf
Rh 102.91 Rh.upf
Au 196.97 Au.upf
Cl 35.45 Cl.upf
CELL_PARAMETERS angstrom
2.865 -1.638 0.000
2.865 1.638 0.000
-1.371 0.000 7.009
ATOMIC_POSITIONS angstrom
B 0.000 0.000 0.000
Rh 0.560 0.000 6.211
Au 1.321 0.000 1.764
Cl 1.861 0.000 4.135
```

=====

# 3
# BRhAuCl

A geometry-optimized BRhAuCl structure (PBE-GGA, Alexandria via LeMat-Bulk). Values from VASP.

Calculated values
E_form (uncorrected) in eV per atom: 0.034
D(E_F) in states/eV/f.u.: 0.30
Raw total energy in eV per atom: -4.754

```
&SYSTEM
  ibrav = 0, nat = 4, ntyp = 4
/
ATOMIC_SPECIES
B 10.81 B.upf
Rh 102.91 Rh.upf
Au 196.97 Au.upf
Cl 35.45 Cl.upf
CELL_PARAMETERS angstrom
3.239 0.000 0.000
1.619 3.070 0.000
1.482 -0.097 7.149
ATOMIC_POSITIONS angstrom
B 0.000 0.000 0.000
Rh 1.619 1.067 0.613
Au 3.240 2.313 2.573
Cl 3.093 2.016 5.536
```

=====

Among the records above, which one has the lowest raw total energy?
number 2

=====

What did the first record say?
# BRhAuCl

A geometry-optimized BRhAuCl structure (PBE-GGA, Alexandria via LeMat-Bulk). Values from VASP.

Calculated values
E_form (uncorrected) in eV per atom: -0.027
D(E_F) in states/eV/f.u.: 0.03
Raw total energy in eV per atom: -4.815

```
&SYSTEM
  ibrav = 0, nat = 4, ntyp = 4
/
ATOMIC_SPECIES
B 10.81 B.upf
Rh 102.91 Rh.upf
Au 196.97 Au.upf
Cl 35.45 Cl.upf
CELL_PARAMETERS angstrom
3.380 0.000 0.000
-1.690 2.927 0.000
0.000 0.000 6.493
ATOMIC_POSITIONS angstrom
B 0.000 0.000 0.000
Rh 1.690 0.976 0.776
Au 0.000 1.952 5.185
Cl 0.000 1.952 2.671
```

=====

E_form (uncorrected) of number 1 (BRhAuCl)?
-0.027 eV per atom

=====

Repeat the second record exactly.
# BRhAuCl

A geometry-optimized BRhAuCl structure (PBE-GGA, Alexandria via LeMat-Bulk). Values from VASP.

Calculated values
E_form (uncorrected) in eV per atom: -0.030
Raw total energy in eV per atom: -4.818

```
&SYSTEM
  ibrav = 0, nat = 4, ntyp = 4
/
ATOMIC_SPECIES
B 10.81 B.upf
Rh 102.91 Rh.upf
Au 196.97 Au.upf
Cl 35.45 Cl.upf
CELL_PARAMETERS angstrom
2.865 -1.638 0.000
2.865 1.638 0.000
-1.371 0.000 7.009
ATOMIC_POSITIONS angstrom
B 0.000 0.000 0.000
Rh 0.560 0.000 6.211
Au 1.321 0.000 1.764
Cl 1.861 0.000 4.135
```